Model P:
First-principles (PBE) data for a geometry-optimized TaNbVRh structure, as listed in the Alexandria database.

a = 3.1752 Å, b = 3.1752 Å, c = 6.3463 Å
α = 90.00°, β = 90.00°, γ = 90.00°
Closest atoms and distances in Å follow each position.
Space group P4mm (No. 99)
Asymmetric unit:
1 Ta 0.0000 0.0000 0.0000 x1  4 V 2.72, 4 Rh 2.76
2 Nb 0.0000 0.0000 0.4807 x1  4 V 2.71, 4 Rh 2.81
3 V 0.5000 0.5000 0.2419 x1  4 Nb 2.71, 4 Ta 2.72
4 Rh 0.5000 0.5000 0.7466 x1  4 Ta 2.76, 4 Nb 2.81

Output
N(E_F): 3.8 states/eV per cell
Magnetic moment: 0.000 μB per atom

***

Model Q:
First-principles (PBE) data for a geometry-optimized TaNbVRh structure, as listed in the Alexandria database.

a = 6.3442 Å, b = 6.3442 Å, c = 6.3442 Å
α = 90.00°, β = 90.00°, γ = 90.00°
Closest atoms and distances in Å follow each position.
Space group F-43m (No. 216)
Asymmetric unit:
1 Ta 0.0000 0.0000 0.0000 x4  4 V 2.75, 4 Rh 2.75
2 Nb 0.0000 0.0000 0.5000 x4  4 Rh 2.75, 4 V 2.75
3 V 0.2500 0.2500 0.7500 x4  4 Nb 2.75, 4 Ta 2.75
4 Rh 0.2500 0.2500 0.2500 x4  4 Ta 2.75, 4 Nb 2.75

Output
N(E_F): 14.2 states/eV per cell
Magnetic moment: 0.000 μB per atom

***

Name the least stable of them. model Q.

***

Model P:
First-principles (PBE) data for a geometry-optimized NbTcRh3 structure, as listed in the Alexandria database.

a = 2.7803 Å, b = 6.5719 Å, c = 8.5959 Å
α = 105.61°, β = 99.27°, γ = 90.04°
Closest atoms and distances in Å follow each position.
Space group P1 (No. 1)
Asymmetric unit:
1 Nb 0.0000 0.0000 0.0000 x1  9 Rh 2.72-2.86, 2 Nb 2.78, 1 Tc 2.78
2 Nb 0.2015 0.5910 0.4022 x1  8 Rh 2.72-2.77, 2 Tc 2.77-2.84, 2 Nb 2.78
3 Tc 0.0303 0.4386 0.0644 x1  8 Rh 2.71-2.83, 2 Nb 2.77-2.78, 2 Tc 2.78
4 Tc 0.2335 0.0383 0.4708 x1  9 Rh 2.69-2.79, 2 Tc 2.78, 1 Nb 2.84
5 Rh 0.4026 0.1990 0.8060 x1  3 Tc 2.71-2.75, 7 Rh 2.74-2.80, 2 Nb 2.74
6 Rh 0.4340 0.6323 0.8695 x1  2 Tc 2.73, 2 Nb 2.75, 8 Rh 2.75-2.83
7 Rh 0.6045 0.7965 0.2094 x1  4 Tc 2.72-2.73, 4 Rh 2.76-2.79, 4 Nb 2.76-2.86
8 Rh 0.6315 0.2302 0.2652 x1  4 Nb 2.72-2.73, 4 Rh 2.76-2.78, 4 Tc 2.79-2.83
9 Rh 0.7997 0.3953 0.6015 x1  2 Tc 2.69, 8 Rh 2.76-2.80, 2 Nb 2.76
10 Rh 0.8300 0.8357 0.6647 x1  7 Rh 2.74-2.83, 3 Nb 2.74-2.75, 2 Tc 2.76

Output
N(E_F): 9.4 states/eV per cell
Magnetic moment: 0.000 μB per atom

***

Model Q:
First-principles (PBE) data for a geometry-optimized NbTcRh3 structure, as listed in the Alexandria database.

a = 4.6849 Å, b = 4.6849 Å, c = 4.6849 Å
α = 90.00°, β = 90.00°, γ = 90.00°
Closest atoms and distances in Å follow each position.
Space group Pm-3m (No. 221)
Asymmetric unit:
1 Nb 0.0000 0.0000 0.0000 x1  6 Rh 2.34
2 Tc 0.5000 0.5000 0.5000 x1  12 Rh 3.31
3 Rh 0.0000 0.0000 0.5000 x3  2 Nb 2.34

Output
N(E_F): 3.9 states/eV per cell
Magnetic moment: 0.887 μB per atom

***

Name the least stable of them. model Q.

***

Model P:
First-principles (PBE) data for a geometry-optimized TiNbTcRh structure, as listed in the Alexandria database.

a = 3.1624 Å, b = 3.1624 Å, c = 6.2550 Å
α = 90.00°, β = 90.00°, γ = 90.00°
Closest atoms and distances in Å follow each position.
Space group P4mm (No. 99)
Asymmetric unit:
1 Ti 0.0000 0.0000 0.0000 x1  4 Tc 2.69, 4 Rh 2.71
2 Nb 0.0000 0.0000 0.4874 x1  4 Tc 2.72, 4 Rh 2.79, 1 Ti 3.05
3 Tc 0.5000 0.5000 0.2387 x1  4 Ti 2.69, 4 Nb 2.72
4 Rh 0.5000 0.5000 0.7551 x1  4 Ti 2.71, 4 Nb 2.79, 1 Tc 3.02

Output
N(E_F): 3.0 states/eV per cell
Magnetic moment: 0.000 μB per atom

***

Model Q:
First-principles (PBE) data for a geometry-optimized TiNbTcRh structure, as listed in the Alexandria database.

a = 6.3073 Å, b = 6.3073 Å, c = 6.3073 Å
α = 90.00°, β = 90.00°, γ = 90.00°
Closest atoms and distances in Å follow each position.
Space group F-43m (No. 216)
Asymmetric unit:
1 Ti 0.0000 0.0000 0.0000 x4  4 Tc 2.73, 4 Rh 2.73
2 Nb 0.0000 0.0000 0.5000 x4  4 Tc 2.73, 4 Rh 2.73
3 Tc 0.2500 0.2500 0.2500 x4  4 Nb 2.73, 4 Ti 2.73
4 Rh 0.2500 0.2500 0.7500 x4  4 Nb 2.73, 4 Ti 2.73

Output
N(E_F): 16.9 states/eV per cell
Magnetic moment: 0.000 μB per atom

***

Name the least stable of them. model Q.

***

Model P:
First-principles (PBE) data for a geometry-optimized TiNbRh3 structure, as listed in the Alexandria database.

a = 4.4832 Å, b = 4.4832 Å, c = 4.4832 Å
α = 90.00°, β = 90.00°, γ = 90.00°
Closest atoms and distances in Å follow each position.
Space group Pm-3m (No. 221)
Asymmetric unit:
1 Ti 0.0000 0.0000 0.0000 x1  6 Rh 2.24
2 Nb 0.5000 0.5000 0.5000 x1  12 Rh 3.17
3 Rh 0.0000 0.0000 0.5000 x3  2 Ti 2.24

Output
N(E_F): 9.8 states/eV per cell
Magnetic moment: 0.000 μB per atom

***

Model Q:
First-principles (PBE) data for a geometry-optimized TiNbRh3 structure, as listed in the Alexandria database.

a = 7.0625 Å, b = 6.9632 Å, c = 6.5484 Å
α = 90.00°, β = 90.00°, γ = 90.00°
Closest atoms and distances in Å follow each position.
Space group Pnma (No. 62)
Asymmetric unit:
1 Ti 0.1535 0.2500 0.0877 x4  8 Rh 2.57-2.85
2 Nb 0.0000 0.0000 0.5000 x4  6 Rh 2.60-2.67
3 Rh 0.1223 0.7500 0.2308 x4  2 Nb 2.62, 6 Rh 2.79-2.92, 2 Ti 2.82-2.85
4 Rh 0.1505 0.5548 0.8573 x8  3 Ti 2.57-2.62, 2 Nb 2.60-2.67, 3 Rh 2.72-2.81

Output
N(E_F): 16.0 states/eV per cell
Magnetic moment: 0.000 μB per atom

***

Name the least stable of them. model P.

***

Model P:
First-principles (PBE) data for a geometry-optimized TiNb2Rh structure, as listed in the Alexandria database.

a = 3.2090 Å, b = 3.2090 Å, c = 6.5048 Å
α = 90.00°, β = 90.00°, γ = 90.00°
Closest atoms and distances in Å follow each position.
Space group P4/mmm (No. 123)
Asymmetric unit:
1 Ti 0.0000 0.0000 0.0000 x1  8 Nb 2.80
2 Nb 0.5000 0.5000 0.2519 x2  4 Rh 2.78, 4 Ti 2.80
3 Rh 0.0000 0.0000 0.5000 x1  8 Nb 2.78

Output
N(E_F): 2.5 states/eV per cell
Magnetic moment: 0.000 μB per atom

***

Model Q:
First-principles (PBE) data for a geometry-optimized TiNb2Rh structure, as listed in the Alexandria database.

a = 6.4184 Å, b = 6.4184 Å, c = 6.4184 Å
α = 90.00°, β = 90.00°, γ = 90.00°
Closest atoms and distances in Å follow each position.
Space group Fm-3m (No. 225)
Asymmetric unit:
1 Ti 0.0000 0.0000 0.0000 x4  8 Nb 2.78
2 Nb 0.2500 0.2500 0.2500 x8  4 Rh 2.78, 4 Ti 2.78
3 Rh 0.0000 0.0000 0.5000 x4  8 Nb 2.78

Output
N(E_F): 9.7 states/eV per cell
Magnetic moment: 0.000 μB per atom

***

Model R:
First-principles (PBE) data for a geometry-optimized TiNb2Rh structure, as listed in the Alexandria database.

a = 3.8071 Å, b = 3.8071 Å, c = 4.6644 Å
α = 90.00°, β = 90.00°, γ = 90.00°
Closest atoms and distances in Å follow each position.
Space group P4/mmm (No. 123)
Asymmetric unit:
1 Ti 0.0000 0.0000 0.0000 x1  4 Rh 2.69, 8 Nb 3.01
2 Nb 0.0000 0.5000 0.5000 x2  4 Nb 2.69, 4 Rh 3.01, 4 Ti 3.01
3 Rh 0.5000 0.5000 0.0000 x1  4 Ti 2.69, 8 Nb 3.01

Output
N(E_F): 5.1 states/eV per cell
Magnetic moment: 0.000 μB per atom

***

Model S:
First-principles (PBE) data for a geometry-optimized TiNb2Rh structure, as listed in the Alexandria database.

a = 7.4024 Å, b = 7.4024 Å, c = 5.2776 Å
α = 90.00°, β = 90.00°, γ = 90.00°
Closest atoms and distances in Å follow each position.
Space group I-42d (No. 122)
Asymmetric unit:
1 Ti 0.0000 0.0000 0.0000 x4  2 Rh 2.64, 4 Nb 2.82
2 Nb 0.2273 0.2500 0.6250 x8  2 Rh 2.59, 2 Nb 2.66, 2 Ti 2.82
3 Rh 0.0000 0.0000 0.5000 x4  4 Nb 2.59, 2 Ti 2.64

Output
N(E_F): 18.0 states/eV per cell
Magnetic moment: 0.000 μB per atom

***

Name the least stable of them. model S.

***

Model P:
First-principles (PBE) data for a geometry-optimized Ti2Nb2Rh structure, as listed in the Alexandria database.

a = 6.4724 Å, b = 6.4724 Å, c = 4.1627 Å
α = 90.00°, β = 90.00°, γ = 90.00°
Closest atoms and distances in Å follow each position.
Space group P4/mbm (No. 127)
Asymmetric unit:
1 Ti 0.1475 0.3525 0.0000 x4  2 Rh 2.47, 1 Ti 2.70, 2 Nb 2.72
2 Nb 0.1620 0.6620 0.5000 x4  6 Ti 2.72-2.89, 1 Nb 2.96
3 Rh 0.0000 0.0000 0.0000 x2  4 Ti 2.47

Output
N(E_F): 16.5 states/eV per cell
Magnetic moment: 0.000 μB per atom

***

Model Q:
First-principles (PBE) data for a geometry-optimized Ti2Nb2Rh structure, as listed in the Alexandria database.

a = 3.1925 Å, b = 3.1925 Å, c = 16.2473 Å
α = 90.00°, β = 90.00°, γ = 90.00°
Closest atoms and distances in Å follow each position.
Space group I4/mmm (No. 139)
Asymmetric unit:
1 Ti 0.0000 0.0000 0.0953 x4  4 Rh 2.74, 4 Nb 2.82
2 Nb 0.0000 0.0000 0.3009 x4  4 Nb 2.80, 4 Ti 2.82
3 Rh 0.0000 0.0000 0.5000 x2  8 Ti 2.74

Output
N(E_F): 9.4 states/eV per cell
Magnetic moment: 0.000 μB per atom

***

Name the least stable of them. model P.